8
Lattice="4.6696 0.0000 0.0000 0.0000 4.6696 0.0000 0.0000 0.0000 6.6038" Properties=species:S:1:pos:R:3 comment="Li2ZrScTl2Pt2 (GGA-PBE, optimized geometry)" sg="No. 115" total_energy_ev_per_cell=-40.15 mass_density_g_cm3=10.943 pbc="T T T"
Zr 2.3348 2.3348 3.3019
Li 2.3348 0.0000 1.6290
Pt 0.0000 2.3348 1.6780
Tl 0.0000 0.0000 3.3019
Pt 2.3348 0.0000 4.9258
Tl 2.3348 2.3348 0.0000
Li 0.0000 2.3348 4.9749
Sc 0.0000 0.0000 0.0000


12
Lattice="6.5852 2.9296 -1.3274 -6.9507 0.7512 2.1982 2.8141 -1.9864 9.5769" Properties=species:S:1:pos:R:3 comment="LiTmPtSe3 (GGA-PBE, optimized geometry)" sg="No. 63" total_energy_ev_per_cell=-58.40 mass_density_g_cm3=7.374 pbc="T T T"
Pt 7.0766 2.3989 1.1221
Se 4.8736 2.4775 -0.1348
Se 1.8668 1.5605 2.4791
Se -2.4251 -0.7830 10.5826
Pt -4.6280 -0.7045 9.3257
Li -1.9943 0.9391 3.4847
Li 4.4428 0.7554 6.9630
Tm 1.2243 0.8472 5.2239
Se 5.8730 1.7721 3.2663
Tm -0.1828 1.8404 0.4354
Se 0.5818 0.1340 7.9687
Se -3.4245 -0.0776 7.1815


16
Lattice="3.4691 2.0029 5.4710 -3.4691 2.0029 5.4710 0.0000 -4.0057 5.4710" Properties=species:S:1:pos:R:3 comment="Li4SiPt3 (GGA-PBE, optimized geometry)" sg="No. 155" total_energy_ev_per_cell=-74.06 de_polymorph_mev_per_atom=0 mass_density_g_cm3=9.335 pbc="T T T"
Pt -2.7166 0.0000 8.2066
Li -0.9845 -1.4350 6.8711
Li -0.7505 -1.5701 9.5420
Li 0.0000 0.0000 4.5183
Li -0.9845 1.4350 9.5420
Pt 0.9213 -2.4100 5.4710
Li 1.7350 0.1351 9.5420
Li -0.7505 1.5701 6.8711
Li 1.7350 -0.1351 6.8711
Pt 1.3583 -2.3527 8.2066
Si 0.0000 0.0000 1.6543
Pt 1.3583 2.3526 8.2066
Pt -2.5478 0.4071 5.4710
Pt 1.6264 2.0029 5.4710
Si 0.0000 0.0000 14.7588
Li 0.0000 0.0000 11.8949


Question: Which formula does entry 1 have?
Answer: Li2ZrScTl2Pt2